Tb6Sm3DySc2: optimized geometry, PBE-GGA.

Results
ΔE_f, eV per atom: 0.037
Energy, eV/atom: -4.90
Symmetry: No. 12
Theoretical density, g/cm³: 7.39

abc: 6.117 6.117 11.660
angles: 95.01 95.01 119.97
Fractional coordinates of all 12 atoms:
Tb: 0.417 0.081 0.242
Tb: 0.081 0.417 0.242
Tb: 0.919 0.583 0.758
Tb: 0.255 0.255 0.758
Tb: 0.583 0.919 0.758
Tb: 0.745 0.745 0.242
Dy: 0.000 0.000 0.000
Sm: 0.500 0.500 0.500
Sm: 0.167 0.833 0.500
Sm: 0.833 0.167 0.500
Sc: 0.333 0.667 0.000
Sc: 0.667 0.333 0.000